--- A ---
Crystalline MnSiNi3 at its relaxed geometry, computed with PBE-GGA.

Computed properties:
Space group: Pbam (55)
Spin magnetization, μB per formula unit: 4.4

Cell lengths 4.3961, 6.3706, 4.9695 Å; angles 90.00, 90.00, 90.00 degrees
Last column: nearest neighbours and their distance in Å.
Fractional positions:
Ni1 0.0000 0.3279 0.6180  2 Si 2.17-2.19
Ni2 0.0000 0.1721 0.1180  2 Si 2.17-2.19
Ni3 0.0000 0.6721 0.3820  2 Si 2.17-2.19
Ni4 0.5000 0.5000 0.0000  2 Si 2.20
Ni5 0.0000 0.8279 0.8820  2 Si 2.17-2.19
Ni6 0.5000 0.0000 0.5000  2 Si 2.20
Mn1 0.5000 0.5000 0.5000  6 Ni 2.48-2.53
Mn2 0.5000 0.0000 0.0000  6 Ni 2.48-2.53
Si1 0.0000 0.0000 0.5000  6 Ni 2.17-2.20
Si2 0.0000 0.5000 0.0000  6 Ni 2.17-2.20


--- B ---
Crystalline MnSiNi3 at its relaxed geometry, computed with PBE-GGA.

Computed properties:
Space group: Pm-3m (221)
Spin magnetization, μB per formula unit: 4.8

Cell lengths 4.1873, 4.1873, 4.1873 Å; angles 90.00, 90.00, 90.00 degrees
Last column: nearest neighbours and their distance in Å.
Fractional positions:
Ni1 0.5000 0.0000 0.0000  2 Si 2.09
Ni2 0.0000 0.5000 0.0000  2 Si 2.09
Ni3 0.0000 0.0000 0.5000  2 Si 2.09
Si1 0.0000 0.0000 0.0000  6 Ni 2.09
Mn1 0.5000 0.5000 0.5000  12 Ni 2.96


Most favorable structure: A. The second most favorable one is 153 meV per atom above it.


--- A ---
Crystalline MnSiNi6 at its relaxed geometry, computed with PBE-GGA.

Computed properties:
Space group: Cmmm (65)
Spin magnetization, μB per formula unit: 4.8

Cell lengths 6.1245, 6.1245, 9.9952 Å; angles 90.00, 90.00, 109.68 degrees
Last column: nearest neighbours and their distance in Å.
Fractional positions:
Si1 0.0000 0.0000 0.5013  12 Ni 2.46-2.51
Si2 0.7443 0.2557 0.2500  12 Ni 2.45-2.56
Si3 0.2557 0.7443 0.2500  12 Ni 2.45-2.56
Si4 0.0000 0.0000 0.9987  12 Ni 2.46-2.51
Ni1 0.0000 0.0000 0.7500  8 Ni 2.48, 2 Si 2.49, 2 Mn 2.55
Ni2 0.6285 0.8794 0.3730  8 Ni 2.46-2.51, 3 Si 2.48-2.50, 1 Mn 2.54
Ni3 0.8787 0.6299 0.8771  1 Si 2.46, 8 Ni 2.48-2.54, 3 Mn 2.50-2.51
Ni4 0.8794 0.6285 0.1270  8 Ni 2.46-2.51, 3 Si 2.48-2.50, 1 Mn 2.54
Ni5 0.8794 0.6285 0.3730  8 Ni 2.46-2.51, 3 Si 2.48-2.50, 1 Mn 2.54
Ni6 0.6299 0.8787 0.8771  1 Si 2.46, 8 Ni 2.48-2.54, 3 Mn 2.50-2.51
Ni7 0.1206 0.3715 0.1270  8 Ni 2.46-2.51, 3 Si 2.48-2.50, 1 Mn 2.54
Ni8 0.3715 0.1206 0.1270  8 Ni 2.46-2.51, 3 Si 2.48-2.50, 1 Mn 2.54
Ni9 0.6285 0.8794 0.1270  8 Ni 2.46-2.51, 3 Si 2.48-2.50, 1 Mn 2.54
Ni10 0.5000 0.5000 0.2500  2 Si 2.45, 8 Ni 2.51, 2 Mn 2.51
Ni11 0.1213 0.3701 0.8771  1 Si 2.46, 8 Ni 2.48-2.54, 3 Mn 2.50-2.51
Ni12 0.3701 0.1213 0.8771  1 Si 2.46, 8 Ni 2.48-2.54, 3 Mn 2.50-2.51
Ni13 0.7508 0.2492 0.4959  2 Si 2.46-2.50, 8 Ni 2.46-2.54, 2 Mn 2.51-2.54
Ni14 0.3701 0.1213 0.6229  1 Si 2.46, 8 Ni 2.48-2.54, 3 Mn 2.50-2.51
Ni15 0.8787 0.6299 0.6229  1 Si 2.46, 8 Ni 2.48-2.54, 3 Mn 2.50-2.51
Ni16 0.3715 0.1206 0.3730  8 Ni 2.46-2.51, 3 Si 2.48-2.50, 1 Mn 2.54
Ni17 0.2492 0.7508 0.0041  2 Si 2.46-2.50, 8 Ni 2.46-2.54, 2 Mn 2.51-2.54
Ni18 0.1206 0.3715 0.3730  8 Ni 2.46-2.51, 3 Si 2.48-2.50, 1 Mn 2.54
Ni19 0.6299 0.8787 0.6229  1 Si 2.46, 8 Ni 2.48-2.54, 3 Mn 2.50-2.51
Ni20 0.2492 0.7508 0.4959  2 Si 2.46-2.50, 8 Ni 2.46-2.54, 2 Mn 2.51-2.54
Ni21 0.1213 0.3701 0.6229  1 Si 2.46, 8 Ni 2.48-2.54, 3 Mn 2.50-2.51
Ni22 0.5000 0.5000 0.7500  4 Mn 2.46-2.49, 8 Ni 2.53
Ni23 0.0000 0.0000 0.2500  8 Ni 2.47, 4 Si 2.51-2.56
Ni24 0.7508 0.2492 0.0041  2 Si 2.46-2.50, 8 Ni 2.46-2.54, 2 Mn 2.51-2.54
Mn1 0.7456 0.2544 0.7500  12 Ni 2.46-2.55
Mn2 0.5000 0.5000 0.9989  12 Ni 2.49-2.54
Mn3 0.2544 0.7456 0.7500  12 Ni 2.46-2.55
Mn4 0.5000 0.5000 0.5011  12 Ni 2.49-2.54


--- B ---
Crystalline MnSiNi6 at its relaxed geometry, computed with PBE-GGA.

Computed properties:
Space group: C2/m (12)
Spin magnetization, μB per formula unit: 3.2

Cell lengths 4.1990, 4.1990, 6.4430 Å; angles 73.31, 73.31, 68.99 degrees
Last column: nearest neighbours and their distance in Å.
Fractional positions:
Si1 0.0000 0.0000 0.0000  6 Ni 2.27-2.33
Mn1 0.5000 0.5000 0.5000  10 Ni 2.42-2.63
Ni1 0.4474 0.9333 0.7016  1 Si 2.27, 5 Ni 2.31-2.53, 2 Mn 2.42-2.44
Ni2 0.9333 0.4474 0.7016  1 Si 2.27, 5 Ni 2.31-2.53, 2 Mn 2.42-2.44
Ni3 0.5526 0.0667 0.2984  1 Si 2.27, 5 Ni 2.31-2.53, 2 Mn 2.42-2.44
Ni4 0.0667 0.5526 0.2984  1 Si 2.27, 5 Ni 2.31-2.53, 2 Mn 2.42-2.44
Ni5 0.3531 0.3531 0.9355  1 Si 2.33, 7 Ni 2.45-2.57
Ni6 0.6469 0.6469 0.0645  1 Si 2.33, 7 Ni 2.45-2.57


Most favorable structure: A. The second most favorable one is 313 meV per atom above it.


--- A ---
Crystalline MnSiNi5 at its relaxed geometry, computed with PBE-GGA.

Computed properties:
Space group: P4/mmm (123)
Spin magnetization, μB per formula unit: 3.6

Cell lengths 3.6176, 3.6176, 6.3018 Å; angles 90.00, 90.00, 90.00 degrees
Last column: nearest neighbours and their distance in Å.
Fractional positions:
Ni1 0.0000 0.5000 0.2188  2 Si 2.27, 2 Ni 2.53, 2 Mn 2.53
Ni2 0.5000 0.0000 0.2188  2 Si 2.27, 2 Mn 2.53, 2 Ni 2.53
Ni3 0.5000 0.5000 0.5000  8 Ni 2.53, 4 Mn 2.56
Ni4 0.0000 0.5000 0.7812  2 Si 2.27, 2 Ni 2.53, 2 Mn 2.53
Ni5 0.5000 0.0000 0.7812  2 Si 2.27, 2 Mn 2.53, 2 Ni 2.53
Mn1 0.0000 0.0000 0.5000  12 Ni 2.53-2.56
Si1 0.5000 0.5000 0.0000  8 Ni 2.27


--- B ---
Crystalline MnSiNi5 at its relaxed geometry, computed with PBE-GGA.

Computed properties:
Space group: C2/c (15)
Spin magnetization, μB per formula unit: 4.4

Cell lengths 5.9870, 5.9870, 5.9880 Å; angles 68.82, 68.82, 88.96 degrees
Last column: nearest neighbours and their distance in Å.
Fractional positions:
Ni1 0.8146 0.4026 0.5186  2 Mn 2.39-2.63, 6 Ni 2.39-2.56, 1 Si 2.66
Ni2 0.8201 0.6089 0.8154  4 Ni 2.37-2.56, 2 Mn 2.37-2.39, 1 Si 2.37
Ni3 0.1799 0.3911 0.1846  4 Ni 2.37-2.56, 2 Mn 2.37-2.39, 1 Si 2.37
Ni4 0.6089 0.8201 0.3154  4 Ni 2.37-2.56, 2 Mn 2.37-2.39, 1 Si 2.37
Ni5 0.5974 0.1854 0.9814  2 Mn 2.39-2.63, 6 Ni 2.39-2.56, 1 Si 2.66
Ni6 0.1854 0.5974 0.4814  2 Mn 2.39-2.63, 6 Ni 2.39-2.56, 1 Si 2.66
Ni7 0.1878 0.8122 0.7500  2 Si 2.17, 1 Mn 2.29, 4 Ni 2.37-2.40
Ni8 0.8122 0.1878 0.2500  2 Si 2.17, 1 Mn 2.29, 4 Ni 2.37-2.40
Ni9 0.4026 0.8146 0.0186  2 Mn 2.39-2.63, 6 Ni 2.39-2.56, 1 Si 2.66
Ni10 0.3911 0.1799 0.6846  4 Ni 2.37-2.56, 2 Mn 2.37-2.39, 1 Si 2.37
Mn1 0.5389 0.4611 0.2500  7 Ni 2.29-2.39
Mn2 0.4611 0.5389 0.7500  7 Ni 2.29-2.39
Si1 0.0000 0.0000 0.5000  4 Ni 2.17-2.37
Si2 0.0000 0.0000 0.0000  4 Ni 2.17-2.37


Most favorable structure: A. The second most favorable one is 456 meV per atom above it.